# Ca3TbCd2 PBE-GGA optimized geometry
data_Ca3TbCd2
_chemical_formula_sum 'Ca6 Tb2 Cd4'
_space_group_name_H-M_alt 'P m c 21'
_space_group_IT_number 26
_cell_length_a 5.2931
_cell_length_b 10.0284
_cell_length_c 7.0271
_cell_angle_alpha 90.00
_cell_angle_beta 90.00
_cell_angle_gamma 90.00
loop_
_space_group_symop_operation_xyz
'x,y,z'
'-x,-y,z+1/2'
'-x,y,z'
'x,-y,z+1/2'
loop_
_atom_site_label
_atom_site_type_symbol
_atom_site_fract_x
_atom_site_fract_y
_atom_site_fract_z
Ca1 Ca 0.0000 0.0512 0.0000
Ca2 Ca 0.0000 0.3187 0.3683
Ca3 Ca 0.5000 0.1871 0.7099
Tb1 Tb 0.5000 0.4532 0.0742
Cd1 Cd 0.0000 0.3663 0.8298
Cd2 Cd 0.5000 0.1461 0.2452
# - VASP energy (eV/atom) = -2.286
# - formation energy (eV per atom) = -0.2085
# - ρ (Mg/m³) = 4.49
# - D(E_F) (states/eV per cell) = 13.2